Run w
Compound: KAg2Ge2
Source: Alexandria via LeMat-Bulk
Functional: PBE
Structure: relaxed

Values from the calculation:
ρ: 6.1 g/cm³
D(E_F): 4.674 states/eV/cell
SG: P4/mbm, No. 127
Size of the total moment: 0.0 Bohr magnetons per cell

Cell lengths 8.563, 8.563, 2.949 Å; angles 90.00, 90.00, 90.00 degrees
Atoms (fractional coordinates):
1 K 0.000 0.000 0.000
2 K 0.500 0.500 0.000
3 Ag 0.139 0.361 0.000
4 Ag 0.361 0.861 0.000
5 Ag 0.639 0.139 0.000
6 Ag 0.861 0.639 0.000
7 Ge 0.149 0.649 0.500
8 Ge 0.351 0.149 0.500
9 Ge 0.649 0.851 0.500
10 Ge 0.851 0.351 0.500

Run x
Compound: KAg2Ge2
Source: Alexandria via LeMat-Bulk
Functional: PBE
Structure: relaxed

Values from the calculation:
ρ: 5.5 g/cm³
D(E_F): 2.262 states/eV/cell
SG: I4/mmm, No. 139
Size of the total moment: 0.0 Bohr magnetons per cell

Cell lengths 6.454, 6.454, 6.454 Å; angles 137.38, 137.38, 61.85 degrees
Atoms (fractional coordinates):
1 K 0.000 0.000 0.000
2 Ag 0.366 0.366 0.000
3 Ag 0.634 0.634 0.000
4 Ge 0.250 0.750 0.500
5 Ge 0.750 0.250 0.500

Preferred: run w; penalty for the next structure: 0.005 eV/atom.